# 1
A relaxed AlTeSCl2 crystal. Source: the Alexandria database, functional PBE.

Computed properties:
- Offset from the most stable computed form: 0.000 eV per atom
- Formation energy without anion corrections: -7.5 kcal/mol of atoms
- D(E_F): 0.662 states/eV/atom

Unit cell a=4.577 b=4.577 c=5.213 alpha=90.00 beta=90.00 gamma=90.00
Space group P4/mmm (No. 123)
Inequivalent atoms, fractional coordinates:
Al1 0.000 0.000 0.000
Te1 0.500 0.500 0.500
S1 0.000 0.000 0.500
Cl1 0.000 0.500 0.000

***

# 2
A relaxed TiMn2AsW crystal. Source: the Alexandria database, functional PBE.

Computed properties:
- D(E_F): 1.199 states/eV/atom
- ΔH_f (0 K): 1.2003 eV/atom

Unit cell a=4.594 b=4.594 c=4.823 alpha=90.00 beta=90.00 gamma=90.00
Space group P4/mmm (No. 123)
Inequivalent atoms, fractional coordinates:
Ti1 0.000 0.000 0.000
Mn1 0.000 0.500 0.500
As1 0.500 0.500 0.000
W1 0.000 0.000 0.500

***

# 3
A relaxed Sr2ZnP2F crystal. Source: the Alexandria database, functional PBE.

Computed properties:
- Formation energy without anion corrections: -8.4 kcal/mol of atoms
- D(E_F): 0.515 states/eV/atom

Unit cell a=3.566 b=3.566 c=14.804 alpha=90.00 beta=90.00 gamma=90.00
Space group P4/mmm (No. 123)
Inequivalent atoms, fractional coordinates:
Sr1 0.000 0.000 0.155
Zn1 0.000 0.000 0.500
P1 0.000 0.000 0.349
F1 0.000 0.000 0.000

***

# 4
A relaxed CuRu crystal. Source: the Alexandria database, functional PBE.

Computed properties:
- D(E_F): 1.308 states/eV/atom
- ΔH_f (0 K): 1.0437 eV/atom

Unit cell a=3.8221 b=3.8221 c=4.7483 alpha=90.00 beta=90.00 gamma=120.00
Space group P6_3/mmc (No. 194)
Inequivalent atoms, fractional coordinates:
Cu1 0.0000 0.0000 0.0000
Ru1 0.3333 0.6667 0.2500